Entry 1:
Here is a relaxed Co2SiTc crystal from Alexandria via LeMat-Bulk. Energies are from GGA-PBEsol.

Cell and atoms, written as CIF:
```
data_Co2SiTc
_chemical_formula_sum 'Co2 Si1 Tc1'
_symmetry_space_group_name_H-M 'P 1'
_symmetry_Int_Tables_number 1
_cell_length_a 2.627
_cell_length_b 2.627
_cell_length_c 6.421
_cell_angle_alpha 90.00
_cell_angle_beta 90.00
_cell_angle_gamma 90.00
loop_
_symmetry_equiv_pos_as_xyz
'x,y,z'
loop_
_atom_site_label
_atom_site_fract_x
_atom_site_fract_y
_atom_site_fract_z
Si1 0.500 0.500 0.000
Co1 0.000 0.000 0.215
Co2 0.000 0.000 0.785
Tc1 0.500 0.500 0.500
```

Values from the calculation:
* formation energy from raw total energies: -0.33 eV per atom
* volume: 44.3 Å³/f.u.

=====

Entry 2:
Here is a relaxed Ta2RuAu crystal from Alexandria via LeMat-Bulk. Energies are from GGA-PBEsol.

Cell and atoms, written as CIF:
```
data_Ta2RuAu
_chemical_formula_sum 'Ta2 Ru1 Au1'
_symmetry_space_group_name_H-M 'P 1'
_symmetry_Int_Tables_number 1
_cell_length_a 2.986
_cell_length_b 4.694
_cell_length_c 4.694
_cell_angle_alpha 90.00
_cell_angle_beta 90.00
_cell_angle_gamma 90.00
loop_
_symmetry_equiv_pos_as_xyz
'x,y,z'
loop_
_atom_site_label
_atom_site_fract_x
_atom_site_fract_y
_atom_site_fract_z
Au1 0.500 0.500 0.500
Ta1 0.000 0.000 0.500
Ta2 0.000 0.500 0.000
Ru1 0.500 0.000 0.000
```

Values from the calculation:
* volume: 65.8 Å³/f.u.
* energy relative to the lowest polymorph listed for this composition: 223 meV per atom
* E_form: 0.031 eV per atom

=====

Entry 3:
Here is a relaxed RbNaGa2 crystal from Alexandria via LeMat-Bulk. Energies are from GGA-PBEsol.

Cell and atoms, written as CIF:
```
data_RbNaGa2
_chemical_formula_sum 'Rb1 Na1 Ga2'
_symmetry_space_group_name_H-M 'P 1'
_symmetry_Int_Tables_number 1
_cell_length_a 5.452
_cell_length_b 5.452
_cell_length_c 5.452
_cell_angle_alpha 60.00
_cell_angle_beta 60.00
_cell_angle_gamma 60.00
loop_
_symmetry_equiv_pos_as_xyz
'x,y,z'
loop_
_atom_site_label
_atom_site_fract_x
_atom_site_fract_y
_atom_site_fract_z
Rb1 0.500 0.500 0.500
Ga1 0.250 0.250 0.250
Na1 0.000 0.000 0.000
Ga2 0.750 0.750 0.750
```

Values from the calculation:
* volume: 114.6 Å³/f.u.
* E_form: 0.304 eV per atom

=====

Entry 4:
Here is a relaxed CsTaAs2Se crystal from Alexandria via LeMat-Bulk. Energies are from GGA-PBEsol.

Cell and atoms, written as CIF:
```
data_CsTaAs2Se
_chemical_formula_sum 'Cs1 Ta1 As2 Se1'
_symmetry_space_group_name_H-M 'P 1'
_symmetry_Int_Tables_number 1
_cell_length_a 5.043
_cell_length_b 5.043
_cell_length_c 5.159
_cell_angle_alpha 90.00
_cell_angle_beta 90.00
_cell_angle_gamma 90.00
loop_
_symmetry_equiv_pos_as_xyz
'x,y,z'
loop_
_atom_site_label
_atom_site_fract_x
_atom_site_fract_y
_atom_site_fract_z
Se1 0.000 0.000 0.500
Ta1 0.000 0.000 0.000
As1 0.000 0.500 0.000
As2 0.500 0.000 0.000
Cs1 0.500 0.500 0.500
```

Values from the calculation:
* formation energy from raw total energies: -0.30 eV per atom
* volume: 131.2 Å³/f.u.

=====

Entry 5:
Here is a relaxed TiZn3Cu crystal from Alexandria via LeMat-Bulk. Energies are from GGA-PBEsol.

Cell and atoms, written as CIF:
```
data_TiZn3Cu
_chemical_formula_sum 'Ti1 Zn3 Cu1'
_symmetry_space_group_name_H-M 'P 1'
_symmetry_Int_Tables_number 1
_cell_length_a 4.362
_cell_length_b 4.362
_cell_length_c 4.362
_cell_angle_alpha 90.00
_cell_angle_beta 90.00
_cell_angle_gamma 90.00
loop_
_symmetry_equiv_pos_as_xyz
'x,y,z'
loop_
_atom_site_label
_atom_site_fract_x
_atom_site_fract_y
_atom_site_fract_z
Ti1 0.500 0.500 0.500
Cu1 0.000 0.000 0.000
Zn1 0.000 0.000 0.500
Zn2 0.500 0.000 0.000
Zn3 0.000 0.500 0.000
```

Values from the calculation:
* volume: 83.0 Å³/f.u.
* E_form: 0.419 eV per atom

=====

Entry 6:
Here is a relaxed ZrAs2Se crystal from Alexandria via LeMat-Bulk. Energies are from GGA-PBEsol.

Cell and atoms, written as CIF:
```
data_ZrAs2Se
_chemical_formula_sum 'Zr1 As2 Se1'
_symmetry_space_group_name_H-M 'P 1'
_symmetry_Int_Tables_number 1
_cell_length_a 3.926
_cell_length_b 3.926
_cell_length_c 5.570
_cell_angle_alpha 110.64
_cell_angle_beta 110.64
_cell_angle_gamma 90.00
loop_
_symmetry_equiv_pos_as_xyz
'x,y,z'
loop_
_atom_site_label
_atom_site_fract_x
_atom_site_fract_y
_atom_site_fract_z
As1 0.750 0.250 0.500
Zr1 0.000 0.000 0.000
As2 0.250 0.750 0.500
Se1 0.500 0.500 0.000
```

Values from the calculation:
* formation energy from raw total energies: -0.45 eV per atom
* volume: 74.4 Å³/f.u.

=====

| no. | magnetic moment (μB/atom) |
| --- | --- |
| 1 | 0.25 |
| 2 | 0.00 |
| 3 | 0.00 |
| 4 | 0.00 |
| 5 | 0.04 |
| 6 | 0.00 |